# 1
# CrCuMo2 (PBE, relaxed)
data_CrCuMo2
_symmetry_space_group_name_H-M 'C m m m'
_symmetry_Int_Tables_number 65
_symmetry_space_group_name_Hall '-C 2 2'
_cell_length_a 3.123
_cell_length_b 4.223
_cell_length_c 8.507
_cell_angle_alpha 90.00
_cell_angle_beta 90.00
_cell_angle_gamma 90.00
loop_
_atom_site_label
_atom_site_type_symbol
_atom_site_fract_x
_atom_site_fract_y
_atom_site_fract_z
Cr1 Cr 0.000 0.000 0.000
Cu1 Cu 0.000 0.000 0.500
Mo1 Mo 0.000 0.500 0.245
# Polymorph energy (0 for the lowest one)   0.0 meV/atom
# N(E_F)   1.989 states/eV/f.u.


# 2
# HfWC2 (PBE, relaxed)
data_HfWC2
_symmetry_space_group_name_H-M 'I -4 2 d'
_symmetry_Int_Tables_number 122
_symmetry_space_group_name_Hall 'I -4 2bw'
_cell_length_a 4.859
_cell_length_b 4.859
_cell_length_c 9.726
_cell_angle_alpha 90.00
_cell_angle_beta 90.00
_cell_angle_gamma 90.00
loop_
_atom_site_label
_atom_site_type_symbol
_atom_site_fract_x
_atom_site_fract_y
_atom_site_fract_z
Hf1 Hf 0.000 0.000 0.000
W1 W 0.000 0.000 0.500
C1 C 0.221 0.250 0.625
# Polymorph energy (0 for the lowest one)   488.8 meV/atom
# N(E_F)   1.839 states/eV/f.u.


# 3
# BaLa2Ru (PBE, relaxed)
data_BaLa2Ru
_symmetry_space_group_name_H-M 'C 1 2/m 1'
_symmetry_Int_Tables_number 12
_symmetry_space_group_name_Hall '-C 2y'
_cell_length_a 6.986
_cell_length_b 10.802
_cell_length_c 3.628
_cell_angle_alpha 90.00
_cell_angle_beta 119.43
_cell_angle_gamma 90.00
loop_
_atom_site_label
_atom_site_type_symbol
_atom_site_fract_x
_atom_site_fract_y
_atom_site_fract_z
Ba1 Ba 0.000 0.000 0.000
La1 La 0.250 0.250 0.500
Ru1 Ru 0.000 0.500 0.000
# Polymorph energy (0 for the lowest one)   728.1 meV/atom
# N(E_F)   3.938 states/eV/f.u.


Q: Which of these has the highest polymorph energy (0 for the lowest one)?
A: BaLa2Ru


Q: The lowest polymorph energy (0 for the lowest one) belongs to which entry?
A: CrCuMo2